DFT (PBE) results for a geometry-optimized KInNi2 structure.

Geometry as CIF:
```
data_KInNi2
_chemical_formula_sum 'K1 In1 Ni2'
_space_group_name_H-M_alt 'P 1'
_space_group_IT_number 1
_cell_length_a 3.893
_cell_length_b 3.777
_cell_length_c 6.777
_cell_angle_alpha 90.00
_cell_angle_beta 106.45
_cell_angle_gamma 90.00
loop_
_space_group_symop_operation_xyz
'x,y,z'
loop_
_atom_site_label
_atom_site_fract_x
_atom_site_fract_y
_atom_site_fract_z
K1 0.000 0.000 0.000
In1 0.727 0.500 0.448
Ni1 0.258 0.000 0.509
Ni2 0.355 0.500 0.707
```

Output
Density: 4.71 Mg/m³
Energy of formation: 0.32 eV/atom
Uncorrected energy: -14.117 eV per formula unit
SG: Pm, No. 6